# Ba4TlSn GGA-PBE optimized geometry
# Relative energy among the computed polymorphs: 0.000 eV per atom
# Size of the total moment: 0.00 μB per formula unit
# N(E_F): 1.17 states/eV per atom
# Formation enthalpy at 0 K: -0.389 eV/atom
# Crystal system: monoclinic
data_Ba4TlSn
_symmetry_space_group_name_H-M 'C 1 2/c 1'
_symmetry_Int_Tables_number 15
_cell_length_a 11.163
_cell_length_b 15.947
_cell_length_c 7.964
_cell_angle_alpha 90.00
_cell_angle_beta 122.77
_cell_angle_gamma 90.00
loop_
_symmetry_equiv_pos_as_xyz
'x,y,z'
'-x,-y,-z'
'-x,y,-z+1/2'
'x,-y,z+1/2'
'x+1/2,y+1/2,z'
'-x+1/2,-y+1/2,-z'
'-x+1/2,y+1/2,-z+1/2'
'x+1/2,-y+1/2,z+1/2'
loop_
_atom_site_label
_atom_site_fract_x
_atom_site_fract_y
_atom_site_fract_z
Ba1 0.125 0.179 0.082
Ba2 0.193 0.446 0.259
Tl1 0.000 0.007 0.250
Sn1 0.000 0.363 0.750

=====

# Ba6TlSn2 GGA-PBE optimized geometry
# Size of the total moment: 0.00 μB per formula unit
# N(E_F): 0.77 states/eV per atom
# Formation enthalpy at 0 K: -0.362 eV/atom
# Crystal system: monoclinic
data_Ba6TlSn2
_symmetry_space_group_name_H-M 'P 1 21/c 1'
_symmetry_Int_Tables_number 14
_cell_length_a 8.100
_cell_length_b 9.522
_cell_length_c 13.341
_cell_angle_alpha 90.00
_cell_angle_beta 121.26
_cell_angle_gamma 90.00
loop_
_symmetry_equiv_pos_as_xyz
'x,y,z'
'-x,-y,-z'
'-x,y+1/2,-z+1/2'
'x,-y+1/2,z+1/2'
loop_
_atom_site_label
_atom_site_fract_x
_atom_site_fract_y
_atom_site_fract_z
Ba1 0.076 0.051 0.233
Ba2 0.212 0.680 0.076
Ba3 0.388 0.164 0.063
Tl1 0.500 0.000 0.500
Sn1 0.313 0.123 0.759

=====

# Ba2TlSn2 GGA-PBE optimized geometry
# Relative energy among the computed polymorphs: 0.381 eV per atom
# Size of the total moment: 0.00 μB per formula unit
# N(E_F): 1.32 states/eV per atom
# Formation enthalpy at 0 K: -0.163 eV/atom
# Crystal system: tetragonal
data_Ba2TlSn2
_symmetry_space_group_name_H-M 'I 4/m m m'
_symmetry_Int_Tables_number 139
_symmetry_space_group_name_Hall '-I 4 2'
_cell_length_a 5.833
_cell_length_b 5.833
_cell_length_c 13.281
_cell_angle_alpha 90.00
_cell_angle_beta 90.00
_cell_angle_gamma 90.00
loop_
_atom_site_label
_atom_site_fract_x
_atom_site_fract_y
_atom_site_fract_z
Ba1 0.000 0.500 0.250
Tl1 0.000 0.000 0.000
Sn1 0.000 0.000 0.398

=====

# Ba3Tl7Sn2 GGA-PBE optimized geometry
# Relative energy among the computed polymorphs: 0.000 eV per atom
# Size of the total moment: 0.00 μB per formula unit
# N(E_F): 0.57 states/eV per atom
# Formation enthalpy at 0 K: -0.288 eV/atom
# Crystal system: triclinic
data_Ba3Tl7Sn2
_symmetry_space_group_name_H-M 'P -1'
_symmetry_Int_Tables_number 2
_cell_length_a 6.445
_cell_length_b 6.514
_cell_length_c 10.940
_cell_angle_alpha 87.40
_cell_angle_beta 77.16
_cell_angle_gamma 67.48
loop_
_symmetry_equiv_pos_as_xyz
'x,y,z'
'-x,-y,-z'
loop_
_atom_site_label
_atom_site_fract_x
_atom_site_fract_y
_atom_site_fract_z
Ba1 0.000 0.000 0.000
Ba2 0.354 0.511 0.337
Tl1 0.013 0.830 0.637
Tl2 0.290 0.150 0.609
Tl3 0.454 0.982 0.151
Tl4 0.500 0.500 0.000
Sn1 0.066 0.486 0.857

=====

Among the records above, which one has the lowest formation enthalpy at 0 K?
Ba4TlSn

=====

Which value of formation enthalpy at 0 K does entry 1 give?
-0.389 eV/atom

=====

What is the formula in the second record?
Ba6TlSn2